# 1
Compound: RbSnIBr2
Source: Alexandria via LeMat-Bulk
Functional: PBE
Structure: relaxed

```
RbSnIBr2
1.0
5.854 0.000 0.000
0.000 5.854 0.000
0.000 0.000 6.291
Rb Sn I Br
1 1 1 2
Cartesian
0.000 0.000 0.000
2.927 2.927 3.146
2.927 2.927 0.000
0.000 2.927 3.146
2.927 0.000 3.146
```

Summary:
Formation energy from raw total energies: -1.064 eV per atom
Theoretical density: 3781 kg/m³
Crystal system: tetragonal

---

# 2
Compound: SmEuTlAu
Source: Alexandria via LeMat-Bulk
Functional: PBE
Structure: relaxed

```
SmEuTlAu
1.0
0.000 3.810 3.810
3.810 0.000 3.810
3.810 3.810 0.000
Sm Eu Tl Au
1 1 1 1
Cartesian
0.000 0.000 0.000
3.810 3.810 3.810
5.715 5.715 5.715
1.905 1.905 1.905
```

Summary:
ΔH_f (0 K): -542 meV per atom
Theoretical density: 10562 kg/m³
Crystal system: cubic

---

# 3
Compound: Pr4NiAg2
Source: Alexandria via LeMat-Bulk
Functional: PBE
Structure: relaxed

```
Pr4NiAg2
1.0
-2.669 2.669 7.637
2.669 -2.669 7.637
2.669 2.669 -7.637
Pr Ni Ag
4 1 2
Cartesian
2.669 0.000 0.000
0.000 0.000 2.855
0.000 2.669 0.000
0.000 0.000 12.419
0.000 0.000 0.000
0.000 0.000 5.846
0.000 0.000 9.427
```

Summary:
ΔH_f (0 K): -26 meV per atom
Theoretical density: 6396 kg/m³
Crystal system: tetragonal

---

# 4
Compound: K3Hg7
Source: Alexandria via LeMat-Bulk
Functional: PBE
Structure: relaxed

```
K3Hg7
1.0
10.240 -2.425 0.000
10.240 2.425 0.000
-2.402 0.000 6.623
K Hg
3 7
Cartesian
0.000 0.000 0.000
2.411 0.000 4.620
15.667 0.000 2.003
-1.201 0.000 3.311
3.105 0.000 1.115
6.820 0.000 4.235
7.935 0.000 1.199
10.143 0.000 5.424
11.259 0.000 2.388
14.973 0.000 5.508
```

Summary:
ΔH_f (0 K): -215 meV per atom
Theoretical density: 7679 kg/m³
Crystal system: monoclinic

---

# 5
Compound: ZrTc2P
Source: Alexandria via LeMat-Bulk
Functional: PBE
Structure: relaxed

```
ZrTc2P
1.0
2.810 -4.337 0.000
2.810 4.337 0.000
-1.405 0.000 2.571
Zr Tc P
1 2 1
Cartesian
0.000 0.000 0.000
0.703 2.169 1.285
0.703 -2.169 1.285
2.810 0.000 0.000
```

Summary:
ΔH_f (0 K): -84 meV per atom
Theoretical density: 8431 kg/m³
Crystal system: monoclinic

---

# 6
Compound: Li3Tm2Ga4
Source: Alexandria via LeMat-Bulk
Functional: PBE
Structure: relaxed

```
Li3Tm2Ga4
1.0
2.833 -7.988 0.000
2.833 7.988 0.000
0.000 0.000 7.456
Li Tm Ga
6 4 8
Cartesian
0.000 0.000 0.000
1.416 3.762 1.864
1.416 -3.762 5.592
2.833 0.000 3.728
4.249 3.762 1.864
4.249 -3.762 5.592
2.833 6.395 2.972
2.833 1.593 6.699
2.833 -1.593 0.756
2.833 -6.395 4.484
2.833 5.396 0.084
1.416 1.099 1.864
1.416 -1.099 5.592
2.833 2.591 3.811
2.833 -2.591 3.644
4.249 1.099 1.864
4.249 -1.099 5.592
2.833 -5.396 7.372
```

Summary:
ΔH_f (0 K): -382 meV per atom
Theoretical density: 6275 kg/m³
Crystal system: orthorhombic